i | A geometry-optimized Ca2GaP2 structure. Source: the Alexandria database, functional PBE.

Properties
Calculated volume: 22.86 A^3/atom
Crystal system: tetragonal
Space-group type: P4/mbm (127)

a = 8.277 Å, b = 8.277 Å, c = 3.336 Å
α = 90.00°, β = 90.00°, γ = 90.00°
Fractional coordinates of all 10 atoms:
P  0.835  0.335  0.500
P  0.335  0.165  0.500
P  0.665  0.835  0.500
P  0.165  0.665  0.500
Ga  0.000  0.000  0.000
Ga  0.500  0.500  0.000
Ca  0.137  0.363  0.000
Ca  0.637  0.137  0.000
Ca  0.363  0.863  0.000
Ca  0.863  0.637  0.000

***

ii | A geometry-optimized Ca2GaP2 structure. Source: the Alexandria database, functional PBE.

Properties
Calculated volume: 22.44 A^3/atom
Crystal system: tetragonal
Space-group type: I4/mmm (139)

a = 3.554 Å, b = 3.554 Å, c = 9.230 Å
α = 78.90°, β = 78.90°, γ = 90.00°
Fractional coordinates of all 5 atoms:
Ca  0.383  0.383  0.235
Ca  0.617  0.617  0.765
P  0.750  0.250  0.500
P  0.250  0.750  0.500
Ga  0.000  0.000  0.000

***

What should be chosen as the most stable of them? Choose i.